Entry from Alexandria: a relaxed structure of Pu8Pd2Pt3 (PBE).

```
Pu8Pd2Pt3
1.0
-2.911 2.779 -3.591
-7.093 -2.669 0.461
-2.608 6.133 3.638
Pu Pt Pd
8 3 2
direct
0.791 0.427 0.427
0.647 0.081 0.599
0.353 0.919 0.401
0.916 0.140 0.140
0.647 0.599 0.081
0.084 0.860 0.860
0.209 0.573 0.573
0.353 0.401 0.919
0.500 0.000 0.000
0.000 0.745 0.255
0.000 0.255 0.745
0.641 0.707 0.707
0.359 0.293 0.293
```

Summary:
- SG = No. 12
- crystal system = monoclinic
- ΔH_f (0 K) (eV/atom) = -0.36
- M_tot (μB/cell) = 22.591